A relaxed structure of U2GaSiPt6. Source: the Alexandria database, functional GGA-PBE.

a b c (Å): 9.3281 9.3281 9.3281
angles (deg): 90.00 90.00 90.00
Space group Fm-3m (No. 225)
Inequivalent atoms, fractional coordinates:
U  0.2500  0.2500  0.2500 [8 per cell]
Ga  0.0000  0.0000  0.0000 [4 per cell]
Si  0.0000  0.0000  0.5000 [4 per cell]
Pt  0.0000  0.0000  0.2559 [24 per cell]

Output
* formation energy (no corrections): -199 kJ/mol of formula units

***

A relaxed structure of La4BiPt2. Source: the Alexandria database, functional GGA-PBE.

a b c (Å): 4.3917 14.1305 14.5663
angles (deg): 90.00 90.00 90.00
Space group Cmcm (No. 63)
Inequivalent atoms, fractional coordinates:
La  0.0000  0.0000  0.0000 [4 per cell]
La  0.0000  0.2652  0.1128 [8 per cell]
La  0.0000  0.4388  0.7500 [4 per cell]
Bi  0.0000  0.1129  0.7500 [4 per cell]
Pt  0.0000  0.3688  0.5595 [8 per cell]

Output
* energy of formation: -0.985 eV per atom

***

A relaxed structure of RbIn2Ge. Source: the Alexandria database, functional GGA-PBE.

a b c (Å): 4.4634 4.4634 29.3356
angles (deg): 90.00 90.00 120.00
Space group R-3m (No. 166, hexagonal axes)
Inequivalent atoms, fractional coordinates:
Rb  0.0000  0.0000  0.0000 [3 per cell]
In  0.0000  0.0000  0.1240 [6 per cell]
Ge  0.0000  0.0000  0.5000 [3 per cell]

Output
* energy of formation: 0.149 eV per atom

***

D(E_F) readings, ordered: 1.2184, 0.7540, 0.6649 states/eV/atom